First-principles (meta-GGA SCAN) data for a PBEsol-optimized structure of CaAgGe, as listed in Alexandria via LeMat-Bulk.

Unit cell a=5.712 b=5.712 c=5.712 alpha=133.09 beta=105.04 gamma=93.29
Sites, in units of the cell vectors:
Ca 0.000 0.000 0.000
Ca 0.564 0.064 0.500
Ag 0.414 0.696 0.718
Ag 0.979 0.696 0.282
Ge 0.171 0.366 0.806
Ge 0.560 0.366 0.194

* density of states at the Fermi level: 0.28 states/eV/atom
* electronic total energy: -20.588 eV per atom

First-principles (meta-GGA SCAN) data for a PBEsol-optimized structure of CaAgGe, as listed in Alexandria via LeMat-Bulk.

Unit cell a=5.734 b=5.734 c=7.220 alpha=128.35 beta=128.35 gamma=45.88
Sites, in units of the cell vectors:
Ca 0.049 0.049 0.295
Ca 0.951 0.951 0.705
Ag 0.327 0.327 0.892
Ag 0.673 0.673 0.108
Ge 0.346 0.346 0.295
Ge 0.654 0.654 0.705

* density of states at the Fermi level: 0.38 states/eV/atom
* electronic total energy: -20.537 eV per atom

First-principles (meta-GGA SCAN) data for a PBEsol-optimized structure of Ca2Ag2Ge, as listed in Alexandria via LeMat-Bulk.

Unit cell a=5.550 b=5.550 c=5.550 alpha=117.38 beta=117.38 gamma=94.60
Sites, in units of the cell vectors:
Ca 0.250 0.750 0.500
Ca 0.750 0.250 0.500
Ag 0.168 0.168 0.000
Ag 0.832 0.832 0.000
Ge 0.500 0.500 0.000

* density of states at the Fermi level: 0.07 states/eV/atom
* electronic total energy: -20.434 eV per atom